PBE-GGA CaScCu2, relaxed; N(E_F) = 3.410 states/eV per cell; M_tot = 0.00 μB per formula unit; uncorrected energy = -4.23 eV/atom; ΔE_f = -10 kJ per mole of atoms
1.0
-4.801 0.182 0.397
0.384 -0.317 4.795
0.142 3.328 0.210
Sc Cu Ca
1 2 1
direct
0.500 0.000 0.500
0.000 0.000 0.000
0.500 0.500 0.000
0.000 0.500 0.500